Record 1
Entry from OQMD via LeMat-Bulk: an optimized crystal structure of LaTlAg2 (PBE).

Results
As for the crystal system: cubic. The value obtained for the distance to the lowest polymorph of the same formula is 0.21 eV/f.u.

Unit cell a=7.247 b=7.247 c=7.247 alpha=90.00 beta=90.00 gamma=90.00
Space group F-43m (No. 216)
Unique sites:
La: 0.000 0.000 0.000 [4 per cell]
Tl: 0.250 0.250 0.750 [4 per cell]
Ag: 0.000 0.000 0.500 [4 per cell]
Ag: 0.250 0.250 0.250 [4 per cell]

Record 2
Entry from OQMD via LeMat-Bulk: an optimized crystal structure of LaTlAg2 (PBE).

Results
As for the crystal system: orthorhombic. The value obtained for the distance to the lowest polymorph of the same formula is 0.29 eV/f.u.

Unit cell a=9.279 b=7.329 c=5.811 alpha=90.00 beta=90.00 gamma=90.00
Space group Pnma (No. 62)
Unique sites:
La: 0.068 0.250 0.163 [4 per cell]
Tl: 0.093 0.750 0.338 [4 per cell]
Ag: 0.185 0.046 0.631 [8 per cell]

Record 3
Entry from OQMD via LeMat-Bulk: an optimized crystal structure of La5Tl4Ag (PBE).

Results
As for the crystal system: tetragonal. As for the uncorrected energy: -40.85 eV for the cell shown.

Unit cell a=3.786 b=3.786 c=21.348 alpha=90.00 beta=90.00 gamma=90.00
Space group P4/mmm (No. 123)
Unique sites:
La: 0.000 0.000 0.000 [1 per cell]
La: 0.000 0.000 0.205 [2 per cell]
La: 0.000 0.000 0.409 [2 per cell]
Tl: 0.500 0.500 0.103 [2 per cell]
Tl: 0.500 0.500 0.309 [2 per cell]
Ag: 0.500 0.500 0.500 [1 per cell]

Record 4
Entry from OQMD via LeMat-Bulk: an optimized crystal structure of LaTlAg2 (PBE).

Results
As for the crystal system: tetragonal. The value obtained for the distance to the lowest polymorph of the same formula is 0.00 eV/f.u.

Unit cell a=5.151 b=5.151 c=7.230 alpha=90.00 beta=90.00 gamma=90.00
Space group I4/mmm (No. 139)
Unique sites:
La: 0.000 0.000 0.000 [2 per cell]
Tl: 0.000 0.000 0.500 [2 per cell]
Ag: 0.000 0.500 0.250 [4 per cell]

Record 5
Entry from OQMD via LeMat-Bulk: an optimized crystal structure of LaTlAg2 (PBE).

Results
As for the crystal system: tetragonal. The value obtained for the distance to the lowest polymorph of the same formula is 0.61 eV/f.u.

Unit cell a=3.835 b=3.835 c=6.916 alpha=90.00 beta=90.00 gamma=90.00
Space group P4/mmm (No. 123)
Unique sites:
La: 0.000 0.000 0.000 [1 per cell]
Tl: 0.000 0.000 0.500 [1 per cell]
Ag: 0.500 0.500 0.263 [2 per cell]

Record 6
Entry from OQMD via LeMat-Bulk: an optimized crystal structure of LaTlAg2 (PBE).

Results
As for the crystal system: hexagonal. The value obtained for the distance to the lowest polymorph of the same formula is 0.09 eV/f.u.

Unit cell a=4.9920 b=4.9920 c=9.1344 alpha=90.00 beta=90.00 gamma=120.00
Space group P6_3/mmc (No. 194)
Unique sites:
La: 0.3333 0.6667 0.2500 [2 per cell]
Tl: 0.0000 0.0000 0.0000 [2 per cell]
Ag: 0.3333 0.6667 0.5934 [4 per cell]

Record 7
Entry from OQMD via LeMat-Bulk: an optimized crystal structure of LaTlAg (PBE).

Results
As for the crystal system: cubic. As for the uncorrected energy: -41.40 eV for the cell shown.

Unit cell a=7.154 b=7.154 c=7.154 alpha=90.00 beta=90.00 gamma=90.00
Space group F-43m (No. 216)
Unique sites:
La: 0.000 0.000 0.000 [4 per cell]
Tl: 0.250 0.250 0.750 [4 per cell]
Ag: 0.000 0.000 0.500 [4 per cell]

Record 8
Entry from OQMD via LeMat-Bulk: an optimized crystal structure of LaTlAg2 (PBE).

Results
As for the crystal system: hexagonal. The value obtained for the distance to the lowest polymorph of the same formula is 0.94 eV/f.u.

Unit cell a=5.3632 b=5.3632 c=8.3213 alpha=90.00 beta=90.00 gamma=120.00
Space group P6_3/mmc (No. 194)
Unique sites:
La: 0.0000 0.0000 0.2500 [2 per cell]
Tl: 0.3333 0.6667 0.2500 [2 per cell]
Ag: 0.3333 0.6667 0.5849 [4 per cell]